No. 1
MnFeOs2 | PBE | relaxed

The structure in POSCAR format:
```
MnFeOs2
1.0
4.575 -0.007 0.000
1.552 4.304 0.000
-3.064 -2.148 2.632
Mn Os Fe
1 2 1
direct
0.750 0.250 0.500
0.250 0.750 0.500
0.000 0.000 0.000
0.500 0.500 0.000
```

Calculated values
Final energy (eV/cell): -39.9
Spin magnetization (μB per atom): 0.05

No. 2
K3Cd2Pb7 | PBE | relaxed

The structure in POSCAR format:
```
K3Cd2Pb7
1.0
-3.096 4.405 4.311
-0.309 -1.416 6.743
7.687 5.811 5.101
Pb Cd K
7 2 3
direct
0.582 0.582 0.760
0.925 0.418 0.240
0.418 0.925 0.240
0.418 0.418 0.240
0.075 0.582 0.760
0.582 0.075 0.760
0.500 0.500 0.500
0.336 0.336 0.992
0.664 0.664 0.008
0.000 0.000 0.000
0.141 0.141 0.578
0.859 0.859 0.422
```

Calculated values
Final energy (eV/cell): -32.5
Spin magnetization (μB per atom): 0.00

No. 3
Ho8BeTe4Se3 | PBE | relaxed

The structure in POSCAR format:
```
Ho8BeTe4Se3
1.0
-3.743 -1.681 7.234
-4.877 -5.795 -3.870
8.273 -0.572 -0.633
Be Se Te Ho
1 3 4 8
direct
0.000 0.500 0.000
0.500 0.500 0.500
0.500 0.500 0.000
0.000 0.500 0.500
0.500 0.000 0.000
0.000 0.000 0.500
0.000 0.000 0.000
0.500 0.000 0.500
0.773 0.287 0.546
0.773 0.286 0.014
0.740 0.721 0.481
0.260 0.279 0.519
0.227 0.713 0.454
0.241 0.286 0.014
0.759 0.714 0.986
0.227 0.714 0.986
```

Calculated values
Final energy (eV/cell): -84.4
Spin magnetization (μB per atom): 0.00

No. 4
SmPuS2 | PBE | relaxed

The structure in POSCAR format:
```
SmPuS2
1.0
3.928 0.000 0.000
-1.964 3.401 0.000
0.000 0.000 13.523
S Sm Pu
4 2 2
direct
0.667 0.333 0.624
0.333 0.667 0.124
0.333 0.667 0.376
0.667 0.333 0.876
0.000 0.000 0.500
0.000 0.000 0.000
0.667 0.333 0.250
0.333 0.667 0.750
```

Calculated values
ΔE to the lowest computed polymorph (eV per atom): 0.058
Spin magnetization (μB per atom): 1.47

No. 5
PuAl3Pt | PBE | relaxed

The structure in POSCAR format:
```
PuAl3Pt
1.0
3.484 0.000 0.000
0.000 8.406 0.000
0.000 0.000 11.829
Al Pu Pt
12 4 4
direct
0.750 0.097 0.222
0.250 0.403 0.722
0.250 0.847 0.208
0.750 0.653 0.708
0.750 0.153 0.792
0.750 0.419 0.921
0.750 0.597 0.278
0.250 0.081 0.421
0.250 0.903 0.778
0.250 0.347 0.292
0.750 0.919 0.579
0.250 0.581 0.079
0.750 0.408 0.505
0.250 0.592 0.495
0.750 0.908 0.995
0.250 0.092 0.005
0.250 0.631 0.868
0.250 0.131 0.632
0.750 0.869 0.368
0.750 0.369 0.132
```

Calculated values
Final energy (eV/cell): -136.9
Spin magnetization (μB per atom): 0.00

No. 6
CuSi | PBE | relaxed

The structure in POSCAR format:
```
CuSi
1.0
3.320 -5.751 0.000
3.320 5.751 0.000
0.000 0.000 2.446
Si Cu
3 3
direct
0.000 0.000 0.000
0.333 0.667 0.500
0.667 0.333 0.500
0.368 0.000 0.000
0.000 0.368 0.000
0.632 0.632 0.000
```

Calculated values
Final energy (eV/cell): -27.5
Spin magnetization (μB per atom): 0.00